Entry from Alexandria via LeMat-Bulk: an optimized crystal structure of Pr2MgSn3Ir4 (PBE).

Calculated values
Space group: P-4m2

a = 4.3621 Å, b = 4.3621 Å, c = 11.3778 Å
α = 90.00°, β = 90.00°, γ = 90.00°
Fractional positions:
Pr: 0.5000 0.0000 0.2463
Pr: 0.0000 0.5000 0.7537
Mg: 0.5000 0.5000 0.5000
Sn: 0.0000 0.0000 0.5000
Sn: 0.5000 0.0000 0.8698
Sn: 0.0000 0.5000 0.1302
Ir: 0.5000 0.5000 0.0000
Ir: 0.0000 0.0000 0.0000
Ir: 0.5000 0.0000 0.6396
Ir: 0.0000 0.5000 0.3604

---

Entry from Alexandria via LeMat-Bulk: an optimized crystal structure of TbPrMgIr (PBE).

Calculated values
Space group: F-43m

a = 5.1421 Å, b = 5.1421 Å, c = 5.1421 Å
α = 60.00°, β = 60.00°, γ = 60.00°
Fractional positions:
Pr: 0.7500 0.7500 0.7500
Mg: 0.5000 0.5000 0.5000
Ir: 0.0000 0.0000 0.0000
Tb: 0.2500 0.2500 0.2500

---

Entry from Alexandria via LeMat-Bulk: an optimized crystal structure of PrTmMgIr (PBE).

Calculated values
Space group: F-43m

a = 5.1001 Å, b = 5.1001 Å, c = 5.1001 Å
α = 60.00°, β = 60.00°, γ = 60.00°
Fractional positions:
Pr: 0.2500 0.2500 0.2500
Mg: 0.0000 0.0000 0.0000
Ir: 0.5000 0.5000 0.5000
Tm: 0.7500 0.7500 0.7500

---

Entry from Alexandria via LeMat-Bulk: an optimized crystal structure of PrMgZnIr (PBE).

Calculated values
Space group: F-43m

a = 4.8780 Å, b = 4.8780 Å, c = 4.8780 Å
α = 60.00°, β = 60.00°, γ = 60.00°
Fractional positions:
Pr: 0.0000 0.0000 0.0000
Zn: 0.2500 0.2500 0.2500
Ir: 0.7500 0.7500 0.7500
Mg: 0.5000 0.5000 0.5000

---

Entry from Alexandria via LeMat-Bulk: an optimized crystal structure of MgIr2Pt (PBE).

Calculated values
Space group: P4/mmm

a = 3.8808 Å, b = 3.8808 Å, c = 3.9961 Å
α = 90.00°, β = 90.00°, γ = 90.00°
Fractional positions:
Ir: 0.0000 0.0000 0.0000
Ir: 0.5000 0.5000 0.0000
Mg: 0.5000 0.0000 0.5000
Pt: 0.0000 0.5000 0.5000

---

Entry from Alexandria via LeMat-Bulk: an optimized crystal structure of Mg6Ir2Pt (PBE).

Calculated values
Space group: P-3m1

a = 4.5412 Å, b = 4.5408 Å, c = 8.5374 Å
α = 90.00°, β = 90.00°, γ = 120.00°
Fractional positions:
Mg: 0.6667 0.3334 0.9325
Mg: 0.3333 0.6666 0.0675
Mg: 0.0000 0.9999 0.1988
Mg: 0.3333 0.6666 0.4078
Mg: 0.0000 0.0001 0.8012
Mg: 0.6667 0.3334 0.5922
Ir: 0.3334 0.6668 0.7461
Ir: 0.6666 0.3332 0.2539
Pt: 0.0000 0.0000 0.5000

---

Entry from Alexandria via LeMat-Bulk: an optimized crystal structure of MgIrPt (PBE).

Calculated values
ΔE to the lowest computed polymorph, eV per atom: 0.152
Space group: Fmm2

a = 7.2586 Å, b = 7.0208 Å, c = 2.7546 Å
α = 83.78°, β = 74.06°, γ = 22.16°
Fractional positions:
Ir: 0.9936 0.9936 0.0064
Mg: 0.3337 0.3337 0.6663
Pt: 0.6727 0.6727 0.3273

---

Entry from Alexandria via LeMat-Bulk: an optimized crystal structure of MgIr2Pt (PBE).

Calculated values
Space group: Pmmm

a = 2.7986 Å, b = 4.6400 Å, c = 4.7108 Å
α = 90.00°, β = 90.00°, γ = 90.00°
Fractional positions:
Ir: 0.0000 0.0000 0.0000
Ir: 0.5000 0.5000 0.0000
Mg: 0.5000 0.0000 0.5000
Pt: 0.0000 0.5000 0.5000

---

Entry from Alexandria via LeMat-Bulk: an optimized crystal structure of MgIr4Pt (PBE).

Calculated values
Space group: F-43m

a = 5.1832 Å, b = 5.1832 Å, c = 5.1832 Å
α = 60.00°, β = 60.00°, γ = 60.00°
Fractional positions:
Mg: 0.7500 0.7500 0.7500
Ir: 0.8750 0.3750 0.3750
Ir: 0.3750 0.3750 0.8750
Ir: 0.3750 0.8750 0.3750
Ir: 0.3750 0.3750 0.3750
Pt: 0.0000 0.0000 0.0000

---

Entry from Alexandria via LeMat-Bulk: an optimized crystal structure of MgIr2Pt (PBE).

Calculated values
Space group: Cmmm

a = 4.7965 Å, b = 4.7965 Å, c = 2.7852 Å
α = 90.00°, β = 90.00°, γ = 109.83°
Fractional positions:
Ir: 0.0000 0.0000 0.0000
Ir: 0.5000 0.5000 0.0000
Mg: 0.5000 0.0000 0.5000
Pt: 0.0000 0.5000 0.5000

---

Entry from Alexandria via LeMat-Bulk: an optimized crystal structure of MgIrPt4 (PBE).

Calculated values
Space group: F-43m

a = 5.2375 Å, b = 5.2375 Å, c = 5.2375 Å
α = 60.00°, β = 60.00°, γ = 60.00°
Fractional positions:
Mg: 0.0000 0.0000 0.0000
Ir: 0.7500 0.7500 0.7500
Pt: 0.8740 0.3753 0.3753
Pt: 0.3753 0.3753 0.8740
Pt: 0.3753 0.8740 0.3753
Pt: 0.3753 0.3753 0.3753

---

Entry from Alexandria via LeMat-Bulk: an optimized crystal structure of MgIrPt (PBE).

Calculated values
ΔE to the lowest computed polymorph, eV per atom: 0.062
Space group: P3m1

a = 2.8080 Å, b = 2.8080 Å, c = 6.7602 Å
α = 90.00°, β = 90.00°, γ = 120.00°
Fractional positions:
Ir: 0.0000 0.0000 0.0090
Mg: 0.3333 0.6667 0.3327
Pt: 0.6667 0.3333 0.6584

---

Entry from Alexandria via LeMat-Bulk: an optimized crystal structure of MgIrPt (PBE).

Calculated values
ΔE to the lowest computed polymorph, eV per atom: 0.070
Space group: Imm2

a = 4.8750 Å, b = 4.8750 Å, c = 4.8750 Å
α = 146.99°, β = 131.75°, γ = 59.70°
Fractional positions:
Ir: 0.9978 0.9978 0.0000
Mg: 0.3340 0.3340 0.0000
Pt: 0.6682 0.6682 0.0000

---

Entry from Alexandria via LeMat-Bulk: an optimized crystal structure of MgIr2Pt (PBE).

Calculated values
Space group: Pmm2

a = 2.7922 Å, b = 3.9218 Å, c = 5.5838 Å
α = 90.00°, β = 90.00°, γ = 90.00°
Fractional positions:
Ir: 0.0000 0.0000 0.0260
Ir: 0.5000 0.5000 0.2264
Mg: 0.0000 0.0000 0.5102
Pt: 0.5000 0.5000 0.7374

---

Entry from Alexandria via LeMat-Bulk: an optimized crystal structure of MgIrPt6 (PBE).

Calculated values
Space group: C2/m

a = 3.9717 Å, b = 4.8583 Å, c = 7.3753 Å
α = 77.31°, β = 74.38°, γ = 65.87°
Fractional positions:
Mg: 0.0000 0.0000 0.0000
Ir: 0.0000 0.5000 0.5000
Pt: 0.2471 0.8799 0.6259
Pt: 0.4973 0.2570 0.7484
Pt: 0.2492 0.3752 0.1264
Pt: 0.5027 0.7430 0.2516
Pt: 0.7529 0.1201 0.3741
Pt: 0.7508 0.6248 0.8736

---

Entry from Alexandria via LeMat-Bulk: an optimized crystal structure of MgIrPt (PBE).

Calculated values
ΔE to the lowest computed polymorph, eV per atom: 0.357
Space group: F-43m

a = 4.2995 Å, b = 4.2995 Å, c = 4.2995 Å
α = 60.00°, β = 60.00°, γ = 60.00°
Fractional positions:
Ir: 0.0000 0.0000 0.0000
Mg: 0.5000 0.5000 0.5000
Pt: 0.7500 0.7500 0.7500

---

Entry from Alexandria via LeMat-Bulk: an optimized crystal structure of MgIr2Pt (PBE).

Calculated values
Space group: I4/mmm

a = 4.8161 Å, b = 4.8161 Å, c = 4.8161 Å
α = 132.09°, β = 132.09°, γ = 70.09°
Fractional positions:
Ir: 0.0000 0.0000 0.0000
Ir: 0.5000 0.5000 0.0000
Mg: 0.2500 0.7500 0.5000
Pt: 0.7500 0.2500 0.5000

---

Entry from Alexandria via LeMat-Bulk: an optimized crystal structure of MgIr2Pt (PBE).

Calculated values
Space group: R3m

a = 9.0933 Å, b = 9.0933 Å, c = 9.0933 Å
α = 17.72°, β = 17.72°, γ = 17.72°
Fractional positions:
Ir: 0.9976 0.9976 0.9976
Ir: 0.2512 0.2512 0.2512
Mg: 0.5005 0.5005 0.5005
Pt: 0.7508 0.7508 0.7508

---

Entry from Alexandria via LeMat-Bulk: an optimized crystal structure of MgIr2Pt2 (PBE).

Calculated values
Space group: P4/mbm

a = 6.9144 Å, b = 6.9144 Å, c = 3.4745 Å
α = 90.00°, β = 90.00°, γ = 90.00°
Fractional positions:
Mg: 0.0000 0.0000 0.0000
Mg: 0.5000 0.5000 0.0000
Ir: 0.3707 0.8707 0.0000
Ir: 0.8707 0.6293 0.0000
Ir: 0.6293 0.1293 0.0000
Ir: 0.1293 0.3707 0.0000
Pt: 0.1705 0.6705 0.5000
Pt: 0.6705 0.8295 0.5000
Pt: 0.8295 0.3295 0.5000
Pt: 0.3295 0.1705 0.5000

---

Entry from Alexandria via LeMat-Bulk: an optimized crystal structure of Mg5IrPt (PBE).

Calculated values
Space group: C2/c

a = 6.7864 Å, b = 6.7864 Å, c = 9.0170 Å
α = 71.75°, β = 71.75°, γ = 72.34°
Fractional positions:
Mg: 0.7888 0.7165 0.1433
Mg: 0.2978 0.6653 0.4612
Mg: 0.7165 0.7888 0.6433
Mg: 0.8760 0.1240 0.2500
Mg: 0.3347 0.7022 0.0388
Mg: 0.6653 0.2978 0.9612
Mg: 0.1240 0.8760 0.7500
Mg: 0.2835 0.2112 0.3567
Mg: 0.7022 0.3347 0.5388
Mg: 0.2112 0.2835 0.8567
Ir: 0.0000 0.0000 0.0000
Ir: 0.0000 0.0000 0.5000
Pt: 0.5507 0.4493 0.2500
Pt: 0.4493 0.5507 0.7500

---

Entry from Alexandria via LeMat-Bulk: an optimized crystal structure of Mg2IrPt9 (PBE).

Calculated values
Space group: P4/mmm

a = 3.9408 Å, b = 3.9408 Å, c = 11.9745 Å
α = 90.00°, β = 90.00°, γ = 90.00°
Fractional positions:
Mg: 0.0000 0.0000 0.3354
Mg: 0.0000 0.0000 0.6646
Ir: 0.0000 0.0000 0.0000
Pt: 0.5000 0.5000 0.0000
Pt: 0.5000 0.5000 0.3340
Pt: 0.5000 0.5000 0.6660
Pt: 0.5000 0.0000 0.1658
Pt: 0.5000 0.0000 0.5000
Pt: 0.5000 0.0000 0.8342
Pt: 0.0000 0.5000 0.1658
Pt: 0.0000 0.5000 0.5000
Pt: 0.0000 0.5000 0.8342

---

Entry from Alexandria via LeMat-Bulk: an optimized crystal structure of MgIr2Pt (PBE).

Calculated values
Space group: C2/m

a = 4.8270 Å, b = 4.8270 Å, c = 4.7616 Å
α = 80.57°, β = 80.57°, γ = 33.45°
Fractional positions:
Ir: 0.0005 0.0005 0.0013
Ir: 0.4995 0.4995 0.4987
Mg: 0.7500 0.7500 0.7500
Pt: 0.2500 0.2500 0.2500

---

Entry from Alexandria via LeMat-Bulk: an optimized crystal structure of MgIr2Pt (PBE).

Calculated values
Space group: P4/mmm

a = 2.7844 Å, b = 2.7844 Å, c = 7.9120 Å
α = 90.00°, β = 90.00°, γ = 90.00°
Fractional positions:
Ir: 0.0000 0.0000 0.9927
Ir: 0.0000 0.0000 0.5073
Mg: 0.5000 0.5000 0.2500
Pt: 0.5000 0.5000 0.7500

---

Entry from Alexandria via LeMat-Bulk: an optimized crystal structure of MgIrPt (PBE).

Calculated values
ΔE to the lowest computed polymorph, eV per atom: 0.059
Space group: C2/m

a = 5.3011 Å, b = 5.3011 Å, c = 5.2826 Å
α = 82.99°, β = 130.28°, γ = 118.52°
Fractional positions:
Mg: 0.2504 0.6047 0.8551
Mg: 0.7496 0.3953 0.1449
Pt: 0.0000 0.0000 0.5000
Pt: 0.5000 0.5000 0.5000
Ir: 0.2490 0.9296 0.1786
Ir: 0.7510 0.0704 0.8214

---

Entry from Alexandria via LeMat-Bulk: an optimized crystal structure of Mg6IrPt2 (PBE).

Calculated values
Space group: P-3m1

a = 4.5713 Å, b = 4.5707 Å, c = 8.5919 Å
α = 90.00°, β = 90.00°, γ = 120.00°
Fractional positions:
Mg: 0.6667 0.3333 0.9320
Mg: 0.3333 0.6667 0.0680
Mg: 0.0000 0.0000 0.2023
Mg: 0.3333 0.6667 0.4161
Mg: 0.0000 0.0000 0.7978
Mg: 0.6667 0.3333 0.5839
Ir: 0.0000 0.0000 0.5000
Pt: 0.3334 0.6668 0.7496
Pt: 0.6666 0.3332 0.2504

---

Entry from Alexandria via LeMat-Bulk: an optimized crystal structure of MgIr2Pt (PBE).

Calculated values
Space group: R-3m

a = 9.1184 Å, b = 9.1184 Å, c = 9.1184 Å
α = 17.67°, β = 17.67°, γ = 17.67°
Fractional positions:
Ir: 0.9995 0.9995 0.9995
Ir: 0.5005 0.5005 0.5005
Mg: 0.2500 0.2500 0.2500
Pt: 0.7500 0.7500 0.7500

---

Entry from Alexandria via LeMat-Bulk: an optimized crystal structure of MgIrPt (PBE).

Calculated values
ΔE to the lowest computed polymorph, eV per atom: 0.000
Space group: I4mm

a = 6.3391 Å, b = 6.3391 Å, c = 6.3391 Å
α = 154.70°, β = 154.70°, γ = 36.08°
Fractional positions:
Ir: 0.0007 0.0007 0.0000
Mg: 0.3338 0.3338 0.0000
Pt: 0.6654 0.6654 0.0000

---

Entry from Alexandria via LeMat-Bulk: an optimized crystal structure of MgIr2Pt (PBE).

Calculated values
Space group: Cm

a = 4.7977 Å, b = 4.7977 Å, c = 4.7962 Å
α = 80.56°, β = 80.56°, γ = 33.96°
Fractional positions:
Ir: 0.0029 0.0029 0.9690
Ir: 0.7449 0.7449 0.7829
Mg: 0.5002 0.5002 0.4807
Pt: 0.2520 0.2520 0.2675

---

| no. | energy (Ry/atom) | ΔE_f (eV/atom) |
| --- | --- | --- |
| 1 | -0.4707 | -0.54 |
| 2 | -0.3903 | -0.34 |
| 3 | -0.3893 | -0.37 |
| 4 | -0.3249 | -0.29 |
| 5 | -0.4850 | -0.26 |
| 6 | -0.3033 | -0.42 |
| 7 | -0.4146 | -0.14 |
| 8 | -0.4788 | -0.17 |
| 9 | -0.5106 | 0.23 |
| 10 | -0.4816 | -0.21 |
| 11 | -0.4208 | 0.04 |
| 12 | -0.4213 | -0.23 |
| 13 | -0.4207 | -0.22 |
| 14 | -0.4842 | -0.25 |
| 15 | -0.4463 | -0.23 |
| 16 | -0.3996 | 0.06 |
| 17 | -0.4799 | -0.19 |
| 18 | -0.4775 | -0.16 |
| 19 | -0.4604 | 0.02 |
| 20 | -0.2494 | -0.13 |
| 21 | -0.4343 | -0.37 |
| 22 | -0.4851 | -0.26 |
| 23 | -0.4726 | -0.09 |
| 24 | -0.4215 | -0.24 |
| 25 | -0.2867 | -0.51 |
| 26 | -0.4683 | -0.03 |
| 27 | -0.4258 | -0.30 |
| 28 | -0.4851 | -0.26 |